Entry from Alexandria via LeMat-Bulk: crystalline NpPd4Au5 at its relaxed geometry (PBE).

Calculated values
Fermi-level density of states: 12.52 states/eV/cell
symmetry: C2/m (12)
spin magnetization: 3.4 μB/cell
volume: 18.87 Å³ per atom
VASP energy: -51.29 eV for the cell shown

POSCAR file:
```
NpPd4Au5
1.0
6.9367 -2.1951 0.0000
6.9367 2.1951 0.0000
-3.5459 0.0000 6.1971
Np Pd Au
1 4 5
Direct
0.0000 0.0000 0.0000
0.1783 0.1783 0.4182
0.4711 0.4711 0.7330
0.5289 0.5289 0.2670
0.8217 0.8217 0.5818
0.0000 0.0000 0.5000
0.3152 0.3152 0.8805
0.3360 0.3360 0.2880
0.6640 0.6640 0.7120
0.6848 0.6848 0.1195
```

Entry from Alexandria via LeMat-Bulk: crystalline NpPd6Au8 at its relaxed geometry (PBE).

Calculated values
Fermi-level density of states: 12.45 states/eV/cell
symmetry: P-3 (147)
spin magnetization: 2.9 μB/cell
volume: 19.19 Å³ per atom
VASP energy: -71.28 eV for the cell shown

POSCAR file:
```
NpPd6Au8
1.0
7.7089 0.0000 0.0000
-3.8544 6.6761 0.0000
0.0000 0.0000 5.5938
Np Pd Au
1 6 8
Direct
0.0000 0.0000 0.0000
0.0399 0.3586 0.1272
0.3187 0.9601 0.1272
0.3586 0.3187 0.8728
0.6414 0.6813 0.1272
0.6813 0.0399 0.8728
0.9601 0.6414 0.8728
0.0194 0.3336 0.6218
0.3143 0.9806 0.6218
0.3333 0.6667 0.8452
0.3336 0.3143 0.3782
0.6664 0.6857 0.6218
0.6667 0.3333 0.1548
0.6857 0.0194 0.3782
0.9806 0.6664 0.3782
```